1.
First-principles (PBE-GGA) data for an optimized crystal structure of FeIN2, as listed in the Alexandria database.

Calculated values
- final energy (eV per atom) = -4.5555
- total magnetic moment (μB/f.u.) = 0.00
- formation energy from raw total energies (eV per atom) = 2.110

a b c (Å): 5.625 5.625 5.625
angles (deg): 90.00 90.00 90.00
Space group Fm-3m (No. 225)
Unique sites:
Fe1 0.000 0.000 0.000 [4 per cell]
I1 0.000 0.000 0.500 [4 per cell]
N1 0.250 0.250 0.250 [8 per cell]

---

2.
First-principles (PBE-GGA) data for an optimized crystal structure of Ba3Zn2CdAu6, as listed in the Alexandria database.

Calculated values
- final energy (eV per atom) = -2.8357
- formation energy (eV/atom) = -0.43
- total magnetic moment (μB/f.u.) = 0.00

a b c (Å): 6.7907 6.7907 8.6980
angles (deg): 90.00 90.00 120.00
Space group P-3m1 (No. 164)
Unique sites:
Ba1 0.0000 0.0000 0.0000 [1 per cell]
Ba2 0.3333 0.6667 0.6491 [2 per cell]
Zn1 0.3333 0.6667 0.0582 [2 per cell]
Cd1 0.0000 0.0000 0.5000 [1 per cell]
Au1 0.1879 0.3757 0.2930 [6 per cell]

---

3.
First-principles (PBE-GGA) data for an optimized crystal structure of Na2TbGeSe4, as listed in the Alexandria database.

Calculated values
- final energy (eV per atom) = -4.3147
- total magnetic moment (μB/f.u.) = 0.00
- formation energy from raw total energies (eV per atom) = -1.087

a b c (Å): 8.063 8.378 11.696
angles (deg): 90.00 90.00 90.00
Space group Imma (No. 74)
Unique sites:
Na1 0.000 0.000 0.000 [4 per cell]
Na2 0.250 0.250 0.250 [4 per cell]
Tb1 0.000 0.000 0.500 [4 per cell]
Ge1 0.250 0.250 0.750 [4 per cell]
Se1 0.000 0.024 0.746 [8 per cell]
Se2 0.244 0.250 0.513 [8 per cell]